An optimized crystal structure of Ac2MgPaRh6, computed with PBE. Values from VASP.

Cell and atoms, written as Quantum ESPRESSO input:
```
&SYSTEM
  ibrav = 0, nat = 10, ntyp = 4
/
ATOMIC_SPECIES
Ac 227.00 Ac.upf
Mg 24.30 Mg.upf
Pa 231.04 Pa.upf
Rh 102.91 Rh.upf
CELL_PARAMETERS angstrom
-3.432 3.432 4.850
3.432 -3.432 4.850
3.432 3.432 -4.850
ATOMIC_POSITIONS crystal
Ac 0.250 0.750 0.500
Ac 0.750 0.250 0.500
Mg 0.000 0.000 0.000
Pa 0.500 0.500 0.000
Rh 0.246 0.246 0.000
Rh 0.246 0.246 0.492
Rh 0.246 0.754 0.000
Rh 0.754 0.246 0.000
Rh 0.754 0.754 0.000
Rh 0.754 0.754 0.508
```

calculated volume = 229 Å³/f.u.
ΔH_f (0 K) = -0.241 eV/atom
total DFT energy (no corrections) = -65.82 eV for the cell shown
space group = I4/mmm (139)

An optimized crystal structure of HgP2SCl, computed with PBE. Values from VASP.

Cell and atoms, written as Quantum ESPRESSO input:
```
&SYSTEM
  ibrav = 0, nat = 5, ntyp = 4
/
ATOMIC_SPECIES
Hg 200.59 Hg.upf
P 30.97 P.upf
S 32.06 S.upf
Cl 35.45 Cl.upf
CELL_PARAMETERS angstrom
4.672 0.000 0.000
0.000 4.672 0.000
0.000 0.000 5.015
ATOMIC_POSITIONS crystal
Hg 0.000 0.000 0.000
P 0.000 0.500 0.500
P 0.500 0.000 0.500
S 0.500 0.500 0.500
Cl 0.500 0.500 0.000
```

raw formation energy = 3.91 eV/f.u.
calculated volume = 109 Å³/f.u.
total DFT energy (no corrections) = -13.19 eV for the cell shown
space group = P4/mmm (123)

An optimized crystal structure of AlFeS2N, computed with PBE. Values from VASP.

Cell and atoms, written as Quantum ESPRESSO input:
```
&SYSTEM
  ibrav = 0, nat = 5, ntyp = 4
/
ATOMIC_SPECIES
Al 26.98 Al.upf
Fe 55.84 Fe.upf
S 32.06 S.upf
N 14.01 N.upf
CELL_PARAMETERS angstrom
4.639 0.000 0.000
0.000 4.639 0.000
0.000 0.000 3.401
ATOMIC_POSITIONS crystal
Al 0.000 0.000 0.000
Fe 0.500 0.500 0.500
S 0.000 0.500 0.500
S 0.500 0.000 0.500
N 0.500 0.500 0.000
```

raw formation energy = 1.09 eV/f.u.
calculated volume = 73 Å³/f.u.
total DFT energy (no corrections) = -27.69 eV for the cell shown
space group = P4/mmm (123)

An optimized crystal structure of AsSeBr2N, computed with PBE. Values from VASP.

Cell and atoms, written as Quantum ESPRESSO input:
```
&SYSTEM
  ibrav = 0, nat = 5, ntyp = 4
/
ATOMIC_SPECIES
As 74.92 As.upf
Se 78.96 Se.upf
Br 79.90 Br.upf
N 14.01 N.upf
CELL_PARAMETERS angstrom
4.516 0.000 0.000
0.000 4.516 0.000
0.000 0.000 4.810
ATOMIC_POSITIONS crystal
As 0.000 0.000 0.000
Se 0.500 0.500 0.000
Br 0.000 0.500 0.500
Br 0.500 0.000 0.500
N 0.000 0.000 0.500
```

raw formation energy = 5.54 eV/f.u.
calculated volume = 98 Å³/f.u.
total DFT energy (no corrections) = -14.27 eV for the cell shown
space group = P4/mmm (123)

An optimized crystal structure of HoHg3I9, computed with PBE. Values from VASP.

Cell and atoms, written as Quantum ESPRESSO input:
```
&SYSTEM
  ibrav = 0, nat = 26, ntyp = 3
/
ATOMIC_SPECIES
Ho 164.93 Ho.upf
Hg 200.59 Hg.upf
I 126.90 I.upf
CELL_PARAMETERS angstrom
10.260 -5.323 0.000
10.260 5.323 0.000
-9.289 0.000 11.530
ATOMIC_POSITIONS crystal
Ho 0.231 0.769 0.500
Ho 0.769 0.231 0.000
Hg 0.201 0.333 0.777
Hg 0.333 0.201 0.277
Hg 0.567 0.706 0.336
Hg 0.706 0.567 0.836
Hg 0.760 0.989 0.185
Hg 0.989 0.760 0.685
I 0.023 0.502 0.920
I 0.086 0.934 0.681
I 0.094 0.188 0.062
I 0.188 0.094 0.562
I 0.224 0.486 0.459
I 0.261 0.557 0.796
I 0.301 0.698 0.297
I 0.486 0.224 0.959
I 0.502 0.023 0.420
I 0.556 0.848 0.980
I 0.557 0.261 0.296
I 0.564 0.641 0.626
I 0.641 0.564 0.126
I 0.698 0.301 0.797
I 0.780 0.930 0.804
I 0.848 0.556 0.480
I 0.930 0.780 0.304
I 0.934 0.086 0.181
```

raw formation energy = -7.47 eV/f.u.
calculated volume = 630 Å³/f.u.
total DFT energy (no corrections) = -53.81 eV for the cell shown
space group = Cc (9)

An optimized crystal structure of AsPb3C, computed with PBE. Values from VASP.

Cell and atoms, written as Quantum ESPRESSO input:
```
&SYSTEM
  ibrav = 0, nat = 5, ntyp = 3
/
ATOMIC_SPECIES
As 74.92 As.upf
Pb 207.20 Pb.upf
C 12.01 C.upf
CELL_PARAMETERS angstrom
5.031 0.000 0.000
0.000 5.031 0.000
0.000 0.000 5.031
ATOMIC_POSITIONS crystal
As 0.000 0.000 0.000
Pb 0.000 0.500 0.500
Pb 0.500 0.000 0.500
Pb 0.500 0.500 0.000
C 0.500 0.500 0.500
```

calculated volume = 127 Å³/f.u.
ΔH_f (0 K) = 0.878 eV/atom
total DFT energy (no corrections) = -20.61 eV for the cell shown
space group = Pm-3m (221)

An optimized crystal structure of NaZnW3, computed with PBE. Values from VASP.

Cell and atoms, written as Quantum ESPRESSO input:
```
&SYSTEM
  ibrav = 0, nat = 5, ntyp = 3
/
ATOMIC_SPECIES
Na 22.99 Na.upf
Zn 65.41 Zn.upf
W 183.84 W.upf
CELL_PARAMETERS angstrom
4.515 0.000 0.000
0.000 4.515 0.000
0.000 0.000 4.515
ATOMIC_POSITIONS crystal
Na 0.000 0.000 0.000
Zn 0.500 0.500 0.500
W 0.000 0.000 0.500
W 0.000 0.500 0.000
W 0.500 0.000 0.000
```

calculated volume = 92 Å³/f.u.
ΔH_f (0 K) = 3.000 eV/atom
total DFT energy (no corrections) = -26.45 eV for the cell shown
space group = Pm-3m (221)

An optimized crystal structure of PrCdIn4, computed with PBE. Values from VASP.

Cell and atoms, written as Quantum ESPRESSO input:
```
&SYSTEM
  ibrav = 0, nat = 6, ntyp = 3
/
ATOMIC_SPECIES
Pr 140.91 Pr.upf
Cd 112.41 Cd.upf
In 114.82 In.upf
CELL_PARAMETERS angstrom
0.000 4.346 4.346
4.346 0.000 4.346
4.346 4.346 0.000
ATOMIC_POSITIONS crystal
Pr 0.000 0.000 0.000
Cd 0.750 0.750 0.750
In 0.375 0.375 0.375
In 0.375 0.375 0.875
In 0.375 0.875 0.375
In 0.875 0.375 0.375
```

calculated volume = 164 Å³/f.u.
ΔH_f (0 K) = -0.112 eV/atom
total DFT energy (no corrections) = -17.32 eV for the cell shown
space group = F-43m (216)

An optimized crystal structure of CePdPt3, computed with PBE. Values from VASP.

Cell and atoms, written as Quantum ESPRESSO input:
```
&SYSTEM
  ibrav = 0, nat = 10, ntyp = 3
/
ATOMIC_SPECIES
Ce 140.12 Ce.upf
Pd 106.42 Pd.upf
Pt 195.08 Pt.upf
CELL_PARAMETERS angstrom
2.616 -7.331 0.000
2.616 7.331 0.000
0.000 0.000 5.177
ATOMIC_POSITIONS crystal
Ce 0.187 0.813 0.750
Ce 0.813 0.187 0.250
Pd 0.454 0.546 0.250
Pd 0.546 0.454 0.750
Pt 0.000 0.000 0.000
Pt 0.000 0.000 0.500
Pt 0.121 0.394 0.750
Pt 0.394 0.121 0.250
Pt 0.606 0.879 0.750
Pt 0.879 0.606 0.250
```

calculated volume = 99 Å³/f.u.
ΔH_f (0 K) = -0.553 eV/atom
total DFT energy (no corrections) = -64.03 eV for the cell shown
space group = Cmcm (63)

An optimized crystal structure of PaTi2Sn, computed with PBE. Values from VASP.

Cell and atoms, written as Quantum ESPRESSO input:
```
&SYSTEM
  ibrav = 0, nat = 4, ntyp = 3
/
ATOMIC_SPECIES
Pa 231.04 Pa.upf
Ti 47.87 Ti.upf
Sn 118.71 Sn.upf
CELL_PARAMETERS angstrom
1.580 0.912 9.743
-1.580 0.912 9.743
0.000 -1.824 9.743
ATOMIC_POSITIONS crystal
Pa 0.000 0.000 0.000
Ti 0.247 0.247 0.247
Ti 0.753 0.753 0.753
Sn 0.500 0.500 0.500
```

calculated volume = 84 Å³/f.u.
ΔH_f (0 K) = 0.060 eV/atom
total DFT energy (no corrections) = -29.05 eV for the cell shown
space group = R-3m (166)

An optimized crystal structure of ZrMo2Pt, computed with PBE. Values from VASP.

Cell and atoms, written as Quantum ESPRESSO input:
```
&SYSTEM
  ibrav = 0, nat = 4, ntyp = 3
/
ATOMIC_SPECIES
Zr 91.22 Zr.upf
Mo 95.94 Mo.upf
Pt 195.08 Pt.upf
CELL_PARAMETERS angstrom
1.709 -2.246 0.000
1.709 2.246 0.000
0.000 0.000 8.885
ATOMIC_POSITIONS crystal
Zr 0.000 0.000 0.000
Mo 0.000 0.000 0.495
Mo 0.500 0.500 0.733
Pt 0.500 0.500 0.258
```

calculated volume = 68 Å³/f.u.
ΔH_f (0 K) = -0.146 eV/atom
total DFT energy (no corrections) = -36.84 eV for the cell shown
space group = Cmm2 (35)